Entry 1:
RbPa4AgN8 | PBE | relaxed

Unit cell a=7.2170 b=7.2170 c=6.8536 alpha=58.23 beta=58.23 gamma=60.00
Closest atoms and distances in Å follow each position.
Sites, in units of the cell vectors:
1 N 0.2378 0.7378 0.2866  3 Pa 2.23-2.42
2 N 0.7378 0.2378 0.2866  3 Pa 2.23-2.42
3 Ag 0.0014 0.0014 0.9959  6 N 2.35-2.62
4 N 0.7533 0.7533 0.7401  1 Pa 2.19
5 N 0.7378 0.7378 0.2866  3 Pa 2.23-2.42
6 N 0.8280 0.2366 0.6987  2 Pa 2.17, 1 Ag 2.35
7 N 0.2366 0.8280 0.6987  2 Pa 2.17, 1 Ag 2.35
8 Pa 0.4886 0.0060 0.4994  5 N 2.17-2.42
9 Pa 0.0060 0.4886 0.4994  5 N 2.17-2.42
10 N 0.2366 0.2366 0.6987  2 Pa 2.17, 1 Ag 2.35
11 Pa 0.6192 0.6192 0.1423  4 N 2.19-2.23
12 Rb 0.3841 0.3841 0.8477  4 N 2.57-2.59
13 N 0.2266 0.2266 0.3201  3 Pa 2.23
14 Pa 0.0060 0.0060 0.4994  5 N 2.17-2.42

Computed properties:
Space-group type = No. 160
E_form (uncorrected) = -843 meV/atom

Entry 2:
Pa3Re4AgN12 | PBE | relaxed

Unit cell a=7.2907 b=7.2907 c=7.2907 alpha=102.41 beta=102.41 gamma=102.41
Closest atoms and distances in Å follow each position.
Sites, in units of the cell vectors:
1 Pa 0.5590 0.4410 0.0000  6 N 2.20-2.35
2 Re 0.9423 0.0577 0.5000  3 N 1.80-1.83
3 Pa 0.0000 0.5590 0.4410  6 N 2.20-2.35
4 Re 0.5000 0.9423 0.0577  3 N 1.80-1.83
5 N 0.5000 0.3407 0.6593  1 Re 1.81
6 Pa 0.4410 0.0000 0.5590  6 N 2.20-2.35
7 N 0.5000 0.1030 0.8970  1 Re 1.83
8 Re 0.5000 0.5000 0.5000  3 N 1.81
9 N 0.7558 0.0235 0.6255  1 Re 1.80
10 N 0.2442 0.3745 0.9765  1 Re 1.80
11 N 0.1030 0.8970 0.5000  1 Re 1.83
12 N 0.6593 0.5000 0.3407  1 Re 1.81
13 N 0.9765 0.2442 0.3745  1 Re 1.80
14 N 0.6255 0.7558 0.0235  1 Re 1.80
15 N 0.3745 0.9765 0.2442  1 Re 1.80
16 Re 0.0577 0.5000 0.9423  3 N 1.80-1.83
17 Ag 0.0000 0.0000 0.0000  6 N 2.98
18 N 0.3407 0.6593 0.5000  1 Re 1.81
19 N 0.0235 0.6255 0.7558  1 Re 1.80
20 N 0.8970 0.5000 0.1030  1 Re 1.83

Computed properties:
Space-group type = No. 155
E_form (uncorrected) = -207 meV/atom

Entry 3:
PaAgSN | PBE | relaxed

Unit cell a=3.8591 b=3.8591 c=12.0098 alpha=80.75 beta=80.75 gamma=60.00
Closest atoms and distances in Å follow each position.
Sites, in units of the cell vectors:
1 S 0.0893 0.0893 0.7320  3 Pa 2.81, 3 Ag 2.88
2 N 0.6901 0.6901 0.9298  4 Pa 2.27-2.31
3 Ag 0.8075 0.8075 0.5776  3 S 2.88, 3 Ag 2.88
4 N 0.3099 0.3099 0.0702  4 Pa 2.27-2.31
5 Pa 0.3742 0.3742 0.8775  4 N 2.27-2.31
6 Ag 0.1925 0.1925 0.4224  3 S 2.88, 3 Ag 2.88
7 S 0.9107 0.9107 0.2680  3 Pa 2.81, 3 Ag 2.88
8 Pa 0.6258 0.6258 0.1225  4 N 2.27-2.31

Computed properties:
Space-group type = No. 166
E_form (uncorrected) = -1189 meV/atom

Entry 4:
Pa2AgS2N2 | PBE | relaxed

Unit cell a=3.8988 b=3.8988 c=11.0251 alpha=90.00 beta=90.00 gamma=120.00
Closest atoms and distances in Å follow each position.
Sites, in units of the cell vectors:
1 Ag 0.0000 0.0000 0.0000  2 S 2.38
2 Pa 0.6667 0.3333 0.3696  4 N 2.26-2.33
3 S 0.0000 0.0000 0.2162  1 Ag 2.38
4 N 0.3333 0.6667 0.4252  4 Pa 2.26-2.33
5 N 0.6667 0.3333 0.5748  4 Pa 2.26-2.33
6 Pa 0.3333 0.6667 0.6304  4 N 2.26-2.33
7 S 0.0000 0.0000 0.7838  1 Ag 2.38

Computed properties:
Space-group type = No. 164
E_form (uncorrected) = -1445 meV/atom

Entry 5:
PaAgSbN | PBE | relaxed

Unit cell a=4.0299 b=4.0299 c=9.7401 alpha=90.00 beta=90.00 gamma=90.00
Closest atoms and distances in Å follow each position.
Sites, in units of the cell vectors:
1 N 0.5000 0.5000 0.0000  4 Pa 2.32
2 Ag 0.5000 0.5000 0.5000  4 Ag 2.85, 4 Sb 2.89
3 Ag 0.0000 0.0000 0.5000  4 Ag 2.85, 4 Sb 2.89
4 Sb 0.0000 0.5000 0.2867  4 Ag 2.89
5 N 0.0000 0.0000 0.0000  4 Pa 2.32
6 Sb 0.5000 0.0000 0.7133  4 Ag 2.89
7 Pa 0.0000 0.5000 0.8815  4 N 2.32
8 Pa 0.5000 0.0000 0.1185  4 N 2.32

Computed properties:
Space-group type = No. 129
E_form (uncorrected) = -940 meV/atom

Entry 6:
PaAgSeN | PBE | relaxed

Unit cell a=3.9068 b=3.9068 c=12.3471 alpha=80.90 beta=80.90 gamma=60.00
Closest atoms and distances in Å follow each position.
Sites, in units of the cell vectors:
1 N 0.6895 0.6895 0.9316  4 Pa 2.25-2.33
2 Ag 0.8088 0.8088 0.5736  3 Ag 2.88, 3 Se 2.92
3 Pa 0.3724 0.3724 0.8827  4 N 2.25-2.33
4 Pa 0.6276 0.6276 0.1173  4 N 2.25-2.33
5 Ag 0.1912 0.1912 0.4264  3 Ag 2.88, 3 Se 2.92
6 N 0.3105 0.3105 0.0684  4 Pa 2.25-2.33
7 Se 0.0912 0.0912 0.7263  3 Ag 2.92, 3 Pa 2.95
8 Se 0.9088 0.9088 0.2737  3 Ag 2.92, 3 Pa 2.95

Computed properties:
Space-group type = No. 166
E_form (uncorrected) = -1123 meV/atom

Entry 7:
Pa2AgSe2N2 | PBE | relaxed

Unit cell a=3.9204 b=3.9204 c=11.6269 alpha=90.00 beta=90.00 gamma=120.00
Closest atoms and distances in Å follow each position.
Sites, in units of the cell vectors:
1 N 0.3333 0.6667 0.5716  4 Pa 2.26-2.34
2 Ag 0.0000 0.0000 0.0000  2 Se 2.51
3 Pa 0.3333 0.6667 0.3769  4 N 2.26-2.34
4 Pa 0.6667 0.3333 0.6231  4 N 2.26-2.34
5 Se 0.0000 0.0000 0.2162  1 Ag 2.51
6 N 0.6667 0.3333 0.4284  4 Pa 2.26-2.34
7 Se 0.0000 0.0000 0.7838  1 Ag 2.51

Computed properties:
Space-group type = No. 164
E_form (uncorrected) = -1349 meV/atom

Entry 8:
PaAgTe2N | PBE | relaxed

Unit cell a=3.9087 b=3.9087 c=16.1648 alpha=90.00 beta=90.00 gamma=90.00
Closest atoms and distances in Å follow each position.
Sites, in units of the cell vectors:
1 Te 0.0000 0.5000 0.6809  4 Pa 3.26, 4 N 3.52
2 Te 0.5000 0.0000 0.3191  4 Pa 3.26, 4 N 3.52
3 Ag 0.0000 0.5000 0.9372  5 Te 2.90-2.92
4 Pa 0.5000 0.0000 0.5738  4 N 2.29
5 N 0.5000 0.5000 0.5000  4 Pa 2.29
6 N 0.0000 0.0000 0.5000  4 Pa 2.29
7 Ag 0.5000 0.0000 0.0628  5 Te 2.90-2.92
8 Te 0.5000 0.0000 0.8821  5 Ag 2.90-2.92
9 Pa 0.0000 0.5000 0.4262  4 N 2.29
10 Te 0.0000 0.5000 0.1179  5 Ag 2.90-2.92

Computed properties:
Space-group type = No. 129
E_form (uncorrected) = -897 meV/atom

Entry 9:
ZrPa2AgN5 | PBE | relaxed

Unit cell a=3.7207 b=6.2641 c=11.8931 alpha=90.00 beta=90.00 gamma=107.28
Closest atoms and distances in Å follow each position.
Sites, in units of the cell vectors:
1 N 0.1876 0.3753 0.4376  2 Zr 2.17, 1 Pa 2.34
2 Ag 0.4850 0.9699 0.4119  3 N 2.22-2.47
3 N 0.2347 0.4695 0.7697  1 Zr 2.19, 3 Pa 2.29-2.34
4 Ag 0.5150 0.0301 0.9119  3 N 2.22-2.47
5 N 0.4728 0.9457 0.7302  1 Ag 2.22, 2 Pa 2.43
6 Zr 0.2210 0.4419 0.9529  5 N 2.12-2.19
7 N 0.3012 0.6025 0.1130  1 Zr 2.13, 3 Pa 2.21-2.32
8 Pa 0.0999 0.1998 0.6267  4 N 2.21-2.34
9 Pa 0.8428 0.6856 0.7434  6 N 2.29-2.43
10 N 0.5272 0.0543 0.2302  1 Ag 2.22, 2 Pa 2.43
11 N 0.0657 0.1315 0.0385  1 Zr 2.12, 1 Pa 2.24
12 N 0.8124 0.6247 0.9376  2 Zr 2.17, 1 Pa 2.34
13 N 0.9343 0.8685 0.5385  1 Zr 2.12, 1 Pa 2.24
14 Zr 0.7790 0.5581 0.4529  5 N 2.12-2.19
15 N 0.7653 0.5305 0.2697  1 Zr 2.19, 3 Pa 2.29-2.34
16 Pa 0.1572 0.3144 0.2434  6 N 2.29-2.43
17 Pa 0.9001 0.8002 0.1267  4 N 2.21-2.34
18 N 0.6988 0.3975 0.6130  1 Zr 2.13, 3 Pa 2.21-2.32

Computed properties:
Space-group type = No. 36
E_form (uncorrected) = -1208 meV/atom

Entry 10:
AgPb2N | PBE | relaxed

Unit cell a=6.9868 b=6.9868 c=6.2265 alpha=55.87 beta=55.87 gamma=90.00
Closest atoms and distances in Å follow each position.
Sites, in units of the cell vectors:
1 N 0.5000 0.5000 0.0000  4 Pb 2.37
2 Pb 0.3750 0.4410 0.7500  2 N 2.37
3 Pb 0.8750 0.8090 0.7500  2 N 2.37
4 Pb 0.5590 0.1250 0.2500  2 N 2.37
5 Ag 0.7500 0.2500 0.5000  4 Pb 2.97
6 Pb 0.1910 0.6250 0.2500  2 N 2.37
7 N 0.2500 0.7500 0.5000  4 Pb 2.37
8 Ag 0.0000 0.0000 0.0000  4 Pb 2.97

Computed properties:
Space-group type = No. 122
E_form (uncorrected) = 543 meV/atom

Entry 11:
AgPb3N | PBE | relaxed

Unit cell a=5.0230 b=5.0230 c=5.0230 alpha=90.00 beta=90.00 gamma=90.00
Closest atoms and distances in Å follow each position.
Sites, in units of the cell vectors:
1 Pb 0.5000 0.0000 0.0000  2 N 2.51
2 Pb 0.0000 0.5000 0.0000  2 N 2.51
3 Pb 0.0000 0.0000 0.5000  2 N 2.51
4 N 0.0000 0.0000 0.0000  6 Pb 2.51
5 Ag 0.5000 0.5000 0.5000  12 Pb 3.55

Computed properties:
ΔE to the lowest computed polymorph = 0 meV per atom
Space-group type = No. 221
E_form (uncorrected) = 577 meV/atom

Entry 12:
Ag4PbN2 | PBE | relaxed

Unit cell a=5.8246 b=5.8246 c=6.7940 alpha=64.62 beta=64.62 gamma=90.00
Closest atoms and distances in Å follow each position.
Sites, in units of the cell vectors:
1 Pb 0.0000 0.0000 0.0000  6 Ag 2.66-2.91
2 Ag 0.0000 0.5000 0.0000  2 Pb 2.91, 4 N 2.97
3 Ag 0.2462 0.2462 0.5076  1 N 2.18
4 N 0.5523 0.5523 0.8954  1 N 1.13
5 N 0.4477 0.4477 0.1046  1 N 1.13
6 Ag 0.7538 0.7538 0.4924  1 N 2.18
7 Ag 0.5000 0.0000 0.0000  2 Pb 2.91, 4 N 2.97

Computed properties:
Space-group type = No. 139
E_form (uncorrected) = 763 meV/atom